Here is a geometry-optimized Sm5ErIn5 structure from the Alexandria database. Energies are from PBE-GGA.

Output
SG ... C2/m (12)
Theoretical density ... 7.46 g/cm³
DOS at the Fermi energy ... 11.92 states/eV/cell
Total energy ... -4.030 eV/atom
Energy relative to the elements ... -0.23 eV/atom

Cell lengths 9.4115, 9.4115, 6.9859 Å; angles 111.66, 111.66, 35.66 degrees
Atoms (fractional coordinates):
Sm 0.0000 0.0000 0.0000
Sm 0.3122 0.3122 0.3110
Sm 0.3607 0.3607 0.8592
Sm 0.6393 0.6393 0.1408
Sm 0.6878 0.6878 0.6890
Er 0.0000 0.0000 0.5000
In 0.1630 0.1630 0.4391
In 0.1628 0.1628 0.8870
In 0.5000 0.5000 0.5000
In 0.8372 0.8372 0.1130
In 0.8370 0.8370 0.5609